[1]
A relaxed structure of PuZr14Sc. Source: Alexandria via LeMat-Bulk, functional PBE.

Cell: 10.3651 6.4625 6.4625 Å, 59.97 90.00 90.00°
Closest atoms and distances in Å follow each position.
Fractional positions:
Pu  0.0000  0.0000  0.0000  10 Zr 3.18-3.26, 2 Sc 3.23
Zr  0.0000  0.4964  0.9988  8 Zr 3.20-3.25, 2 Pu 3.20-3.26, 2 Sc 3.22-3.24
Zr  0.0000  0.9988  0.4964  8 Zr 3.20-3.25, 2 Pu 3.20-3.26, 2 Sc 3.22-3.24
Zr  0.2509  0.1641  0.1641  1 Pu 3.18, 11 Zr 3.19-3.23
Zr  0.2505  0.1640  0.6645  10 Zr 3.18-3.23, 1 Sc 3.20, 1 Pu 3.20
Zr  0.2505  0.6645  0.1640  10 Zr 3.18-3.23, 1 Sc 3.20, 1 Pu 3.20
Zr  0.2510  0.6639  0.6639  1 Sc 3.19, 11 Zr 3.19-3.23
Zr  0.5000  0.3284  0.8307  12 Zr 3.18-3.25
Zr  0.5000  0.3323  0.3323  12 Zr 3.18-3.25
Zr  0.5000  0.8307  0.3284  12 Zr 3.18-3.25
Zr  0.5000  0.8315  0.8315  12 Zr 3.19-3.25
Zr  0.7491  0.1641  0.1641  1 Pu 3.18, 11 Zr 3.19-3.23
Zr  0.7495  0.1640  0.6645  10 Zr 3.18-3.23, 1 Sc 3.20, 1 Pu 3.20
Zr  0.7495  0.6645  0.1640  10 Zr 3.18-3.23, 1 Sc 3.20, 1 Pu 3.20
Zr  0.7490  0.6639  0.6639  1 Sc 3.19, 11 Zr 3.19-3.23
Sc  0.0000  0.4989  0.4989  10 Zr 3.19-3.24, 2 Pu 3.23

- total moment (μB/cell) = 6.07
- energy (eV/cell) = -139.70
- density of states at the Fermi level (states/eV/f.u.) = 21.462
- V (Å³ per cell) = 374.8
- DFT formation energy (eV/atom) = 0.04

=====

[2]
A relaxed structure of TiInAs2Br. Source: Alexandria via LeMat-Bulk, functional PBE.

Cell: 5.1661 5.1661 5.4522 Å, 90.00 90.00 90.00°
Closest atoms and distances in Å follow each position.
Fractional positions:
Ti  0.0000  0.0000  0.0000  4 Br 3.65, 8 As 3.76
In  0.5000  0.5000  0.5000  4 As 2.58, 2 Br 2.73
As  0.0000  0.5000  0.5000  2 In 2.58
As  0.5000  0.0000  0.5000  2 In 2.58
Br  0.5000  0.5000  0.0000  2 In 2.73

- total moment (μB/cell) = 1.47
- energy (eV/cell) = -17.89
- uncorrected formation energy (kcal/mol of atoms) = 17.135
- density of states at the Fermi level (states/eV/f.u.) = 4.103
- V (Å³ per cell) = 145.5
- E above lowest polymorph (eV/atom) = 0.9524

=====

[3]
A relaxed structure of PmAg2Pt. Source: Alexandria via LeMat-Bulk, functional PBE.

Cell: 4.2844 8.1568 5.3735 Å, 90.00 113.48 90.00°
Closest atoms and distances in Å follow each position.
Fractional positions:
Pm  0.0661  0.2500  0.1307  3 Pt 2.91-2.95
Pm  0.9339  0.7500  0.8693  3 Pt 2.91-2.95
Ag  0.3623  0.0536  0.7239  3 Pt 2.80-2.82, 1 Ag 2.86
Ag  0.3623  0.4464  0.7239  3 Pt 2.80-2.82, 1 Ag 2.86
Ag  0.6377  0.5536  0.2761  3 Pt 2.80-2.82, 1 Ag 2.86
Ag  0.6377  0.9464  0.2761  3 Pt 2.80-2.82, 1 Ag 2.86
Pt  0.2287  0.7500  0.4594  6 Ag 2.80-2.82, 3 Pm 2.91-2.95
Pt  0.7713  0.2500  0.5406  6 Ag 2.80-2.82, 3 Pm 2.91-2.95

- total moment (μB/cell) = 0.00
- energy (eV/cell) = -36.88
- density of states at the Fermi level (states/eV/f.u.) = 1.341
- V (Å³ per cell) = 172.2
- DFT formation energy (eV/atom) = -0.49
- E above lowest polymorph (eV/atom) = 0.0000

=====

[4]
A relaxed structure of NaLaSe2Br. Source: Alexandria via LeMat-Bulk, functional PBE.

Cell: 5.7527 5.7527 5.9536 Å, 90.00 90.00 90.00°
Closest atoms and distances in Å follow each position.
Fractional positions:
Na  0.0000  0.0000  0.0000  4 Br 4.07, 8 Se 4.14
La  0.5000  0.5000  0.5000  4 Se 2.88, 2 Br 2.98
Se  0.0000  0.5000  0.5000  2 La 2.88
Se  0.5000  0.0000  0.5000  2 La 2.88
Br  0.5000  0.5000  0.0000  2 La 2.98

- total moment (μB/cell) = 0.24
- energy (eV/cell) = -20.78
- uncorrected formation energy (kcal/mol of atoms) = -27.194
- density of states at the Fermi level (states/eV/f.u.) = 6.787
- V (Å³ per cell) = 197.0
- E above lowest polymorph (eV/atom) = 0.0000